No. 1
First-principles (GGA-PBE) data for a relaxed Ba3Sr3Tl2Cd crystal, as listed in Alexandria.

a = 9.8955 Å, b = 9.8955 Å, c = 4.6562 Å
α = 90.00°, β = 90.00°, γ = 120.00°
With the nearest neighbours (Å) after each atom.
Fractional coordinates of all 9 atoms:
Ba (0.0000, 0.7368, 0.0000)  2 Cd 3.49, 2 Tl 3.69
Ba (0.2632, 0.2632, 0.0000)  2 Cd 3.49, 2 Tl 3.69
Ba (0.7368, 0.0000, 0.0000)  2 Cd 3.49, 2 Tl 3.69
Sr (0.0000, 0.4042, 0.5000)  4 Tl 3.81, 1 Cd 4.00, 6 Ba 4.03-4.22
Sr (0.4042, 0.0000, 0.5000)  4 Tl 3.81, 1 Cd 4.00, 6 Ba 4.03-4.22
Sr (0.5958, 0.5958, 0.5000)  4 Tl 3.81, 1 Cd 4.00, 6 Ba 4.03-4.22
Tl (0.3333, 0.6667, 0.0000)  3 Ba 3.69, 6 Sr 3.81
Tl (0.6667, 0.3333, 0.0000)  3 Ba 3.69, 6 Sr 3.81
Cd (0.0000, 0.0000, 0.5000)  6 Ba 3.49

Properties
DFT total energy   -2.050 eV per atom
Calculated volume   43.9 Å³ per atom
E_form   -0.2209 eV per atom

No. 2
First-principles (GGA-PBE) data for a relaxed Ba5Sr2TlCd2 crystal, as listed in Alexandria.

a = 14.7585 Å, b = 14.7585 Å, c = 4.4011 Å
α = 90.00°, β = 90.00°, γ = 90.00°
With the nearest neighbours (Å) after each atom.
Fractional coordinates of all 20 atoms:
Ba (0.0000, 0.5000, 0.0000)  4 Cd 3.59
Ba (0.0485, 0.1931, 0.0000)  2 Cd 3.59, 2 Tl 3.67
Ba (0.1931, 0.9515, 0.0000)  2 Cd 3.59, 2 Tl 3.67
Ba (0.3069, 0.4515, 0.0000)  2 Cd 3.59, 2 Tl 3.67
Ba (0.4515, 0.6931, 0.0000)  2 Cd 3.59, 2 Tl 3.67
Ba (0.5000, 0.0000, 0.0000)  4 Cd 3.59
Ba (0.5485, 0.3069, 0.0000)  2 Cd 3.59, 2 Tl 3.67
Ba (0.6931, 0.5485, 0.0000)  2 Cd 3.59, 2 Tl 3.67
Ba (0.8069, 0.0485, 0.0000)  2 Cd 3.59, 2 Tl 3.67
Ba (0.9515, 0.8069, 0.0000)  2 Cd 3.59, 2 Tl 3.67
Sr (0.1885, 0.6885, 0.5000)  1 Cd 3.66
Sr (0.3115, 0.1885, 0.5000)  1 Cd 3.66
Sr (0.6885, 0.8115, 0.5000)  1 Cd 3.66
Sr (0.8115, 0.3115, 0.5000)  1 Cd 3.66
Tl (0.0000, 0.0000, 0.5000)  8 Ba 3.67
Tl (0.5000, 0.5000, 0.5000)  8 Ba 3.67
Cd (0.1362, 0.3638, 0.5000)  6 Ba 3.59, 1 Sr 3.66
Cd (0.3638, 0.8638, 0.5000)  6 Ba 3.59, 1 Sr 3.66
Cd (0.6362, 0.1362, 0.5000)  6 Ba 3.59, 1 Sr 3.66
Cd (0.8638, 0.6362, 0.5000)  6 Ba 3.59, 1 Sr 3.66

Properties
DFT total energy   -1.923 eV per atom
Calculated volume   47.9 Å³ per atom
E_form   -0.2052 eV per atom

No. 3
First-principles (GGA-PBE) data for a relaxed BaSrTlCd crystal, as listed in Alexandria.

a = 5.9165 Å, b = 5.9165 Å, c = 5.9165 Å
α = 60.00°, β = 60.00°, γ = 60.00°
With the nearest neighbours (Å) after each atom.
Fractional coordinates of all 4 atoms:
Ba (0.0000, 0.0000, 0.0000)  4 Tl 3.62, 4 Cd 3.62
Sr (0.5000, 0.5000, 0.5000)  4 Tl 3.62, 4 Cd 3.62
Tl (0.7500, 0.7500, 0.7500)  4 Ba 3.62, 4 Sr 3.62
Cd (0.2500, 0.2500, 0.2500)  4 Ba 3.62, 4 Sr 3.62

Properties
DFT total energy   -2.093 eV per atom
Calculated volume   36.6 Å³ per atom
E_form   -0.3714 eV per atom

No. 4
First-principles (GGA-PBE) data for a relaxed Ba5Sr2Tl2Cd crystal, as listed in Alexandria.

a = 14.7956 Å, b = 14.7956 Å, c = 4.3979 Å
α = 90.00°, β = 90.00°, γ = 90.00°
With the nearest neighbours (Å) after each atom.
Fractional coordinates of all 20 atoms:
Ba (0.0000, 0.5000, 0.0000)  4 Tl 3.63
Ba (0.0493, 0.1952, 0.0000)  2 Tl 3.56, 2 Cd 3.70
Ba (0.1952, 0.9507, 0.0000)  2 Tl 3.56, 2 Cd 3.70
Ba (0.3048, 0.4507, 0.0000)  2 Tl 3.56, 2 Cd 3.70
Ba (0.4507, 0.6952, 0.0000)  2 Tl 3.56, 2 Cd 3.70
Ba (0.5000, 0.0000, 0.0000)  4 Tl 3.63
Ba (0.5493, 0.3048, 0.0000)  2 Tl 3.56, 2 Cd 3.70
Ba (0.6952, 0.5493, 0.0000)  2 Tl 3.56, 2 Cd 3.70
Ba (0.8048, 0.0493, 0.0000)  2 Tl 3.56, 2 Cd 3.70
Ba (0.9507, 0.8048, 0.0000)  2 Tl 3.56, 2 Cd 3.70
Sr (0.1898, 0.6898, 0.5000)  1 Tl 3.60
Sr (0.3102, 0.1898, 0.5000)  1 Tl 3.60
Sr (0.6898, 0.8102, 0.5000)  1 Tl 3.60
Sr (0.8102, 0.3102, 0.5000)  1 Tl 3.60
Tl (0.1381, 0.3619, 0.5000)  6 Ba 3.56-3.63, 1 Sr 3.60
Tl (0.3619, 0.8619, 0.5000)  6 Ba 3.56-3.63, 1 Sr 3.60
Tl (0.6381, 0.1381, 0.5000)  6 Ba 3.56-3.63, 1 Sr 3.60
Tl (0.8619, 0.6381, 0.5000)  6 Ba 3.56-3.63, 1 Sr 3.60
Cd (0.0000, 0.0000, 0.5000)  8 Ba 3.70
Cd (0.5000, 0.5000, 0.5000)  8 Ba 3.70

Properties
DFT total energy   -2.074 eV per atom
Calculated volume   48.1 Å³ per atom
E_form   -0.2119 eV per atom

No. 5
First-principles (GGA-PBE) data for a relaxed Ba3Sr2Tl4Cd2 crystal, as listed in Alexandria.

a = 5.5266 Å, b = 5.5266 Å, c = 16.0576 Å
α = 90.00°, β = 90.00°, γ = 120.00°
With the nearest neighbours (Å) after each atom.
Fractional coordinates of all 11 atoms:
Ba (0.0000, 0.0000, 0.0000)  6 Tl 3.77, 6 Cd 3.90, 2 Ba 4.02
Ba (0.0000, 0.0000, 0.2502)  6 Tl 3.56-3.77, 3 Cd 3.65
Ba (0.0000, 0.0000, 0.7498)  6 Tl 3.56-3.77, 3 Cd 3.65
Sr (0.3333, 0.6667, 0.5732)  4 Tl 3.43-3.62
Sr (0.6667, 0.3333, 0.4268)  4 Tl 3.43-3.62
Tl (0.3333, 0.6667, 0.3478)  1 Cd 3.35, 4 Sr 3.43-3.62, 3 Ba 3.56
Tl (0.3333, 0.6667, 0.8748)  3 Cd 3.20
Tl (0.6667, 0.3333, 0.1252)  3 Cd 3.20
Tl (0.6667, 0.3333, 0.6522)  1 Cd 3.35, 4 Sr 3.43-3.62, 3 Ba 3.56
Cd (0.3333, 0.6667, 0.1395)  4 Tl 3.20-3.35
Cd (0.6667, 0.3333, 0.8605)  4 Tl 3.20-3.35

Properties
DFT total energy   -2.125 eV per atom
Calculated volume   38.6 Å³ per atom
E_form   -0.2684 eV per atom

No. 6
First-principles (GGA-PBE) data for a relaxed Ba2SrZnCd crystal, as listed in Alexandria.

a = 6.5388 Å, b = 6.5388 Å, c = 5.1824 Å
α = 90.00°, β = 90.00°, γ = 90.00°
With the nearest neighbours (Å) after each atom.
Fractional coordinates of all 5 atoms:
Ba (0.0000, 0.5000, 0.0000)  2 Zn 3.27
Ba (0.5000, 0.0000, 0.0000)  2 Zn 3.27
Sr (0.0000, 0.0000, 0.5000)  8 Ba 4.17, 4 Cd 4.62
Zn (0.5000, 0.5000, 0.0000)  2 Cd 2.59
Cd (0.5000, 0.5000, 0.5000)  2 Zn 2.59

Properties
DFT total energy   -1.564 eV per atom
Calculated volume   44.3 Å³ per atom
E_form   -0.0203 eV per atom